a | Density functional theory data (PBE) for a geometry-optimized ZnBi2H2 structure.

POSCAR file:
```
ZnBi2H2
1.0
5.144 0.000 0.000
0.000 5.144 0.000
0.000 0.000 3.311
Zn Bi H
1 2 2
Direct
0.000 0.000 0.000
0.000 0.500 0.500
0.500 0.000 0.500
0.500 0.500 0.000
0.500 0.500 0.500
```

Computed properties:
Crystal system: tetragonal



b | Density functional theory data (PBE) for a geometry-optimized ZnBi2H2 structure.

POSCAR file:
```
ZnBi2H2
1.0
4.590 0.000 0.000
-0.031 4.791 0.000
-1.677 -1.964 12.292
Zn Bi H
2 4 4
Direct
0.041 0.013 0.406
0.959 0.987 0.594
0.065 0.012 0.197
0.439 0.422 0.796
0.561 0.578 0.204
0.935 0.988 0.803
0.193 0.815 0.505
0.488 0.488 0.959
0.512 0.512 0.041
0.807 0.185 0.495
```

Computed properties:
Crystal system: triclinic



Most stable structure: b



a | Density functional theory data (PBE) for a geometry-optimized ZnBiH2 structure.

POSCAR file:
```
ZnBiH2
1.0
-2.773 2.773 3.904
2.773 -2.773 3.904
2.773 2.773 -3.904
Zn Bi H
2 2 4
Direct
0.375 0.625 0.750
0.625 0.375 0.250
0.125 0.875 0.250
0.875 0.125 0.750
0.000 0.500 0.500
0.500 0.000 0.000
0.500 0.500 0.000
0.500 0.500 0.500
```

Computed properties:
Crystal system: tetragonal



b | Density functional theory data (PBE) for a geometry-optimized ZnBiH2 structure.

POSCAR file:
```
ZnBiH2
1.0
0.000 2.997 2.997
2.997 0.000 2.997
2.997 2.997 0.000
Zn Bi H
1 1 2
Direct
0.000 0.000 0.000
0.500 0.500 0.500
0.250 0.250 0.250
0.750 0.750 0.750
```

Computed properties:
Crystal system: cubic



Most stable structure: a



a | Density functional theory data (PBE) for a geometry-optimized ZrBi2H structure.

POSCAR file:
```
ZrBi2H
1.0
0.000 3.607 3.607
3.607 0.000 3.607
3.607 3.607 0.000
Zr Bi H
1 2 1
Direct
0.000 0.000 0.000
0.250 0.250 0.250
0.750 0.750 0.750
0.500 0.500 0.500
```

Computed properties:
Crystal system: cubic



b | Density functional theory data (PBE) for a geometry-optimized ZrBi2H structure.

POSCAR file:
```
ZrBi2H
1.0
3.014 -1.741 0.000
3.014 1.741 0.000
-2.024 0.000 8.837
Zr Bi H
1 2 1
Direct
0.000 0.000 0.000
0.238 0.238 0.717
0.429 0.429 0.284
0.667 0.667 0.002
```

Computed properties:
Crystal system: monoclinic



Most stable structure: b